No. 1
Computed, not measured: GdAl7Au3 after structural relaxation at the PBE level of DFT.

- V: 201.1 Å³/f.u.
- VASP energy: -5.0728 eV per atom

Cell lengths 8.4683, 8.4683, 8.4683 Å; angles 57.26, 57.26, 57.26 degrees
Atoms (fractional coordinates):
Gd  0.0000  0.0000  0.0000
Gd  0.5000  0.5000  0.5000
Al  0.0699  0.8526  0.6677
Al  0.1474  0.3323  0.9301
Al  0.1677  0.3526  0.5699
Al  0.2500  0.2500  0.2500
Al  0.3323  0.9301  0.1474
Al  0.3526  0.5699  0.1677
Al  0.4301  0.8323  0.6474
Al  0.5699  0.1677  0.3526
Al  0.6474  0.4301  0.8323
Al  0.6677  0.0699  0.8526
Al  0.7500  0.7500  0.7500
Al  0.8323  0.6474  0.4301
Al  0.8526  0.6677  0.0699
Al  0.9301  0.1474  0.3323
Au  0.0724  0.7500  0.4276
Au  0.2500  0.5724  0.9276
Au  0.4276  0.0724  0.7500
Au  0.5724  0.9276  0.2500
Au  0.7500  0.4276  0.0724
Au  0.9276  0.2500  0.5724


No. 2
Computed, not measured: GdAl4Ge2Au after structural relaxation at the PBE level of DFT.

- V: 161.9 Å³/f.u.
- VASP energy: -5.6402 eV per atom

Cell lengths 10.6698, 10.6698, 10.6698 Å; angles 22.94, 22.94, 22.94 degrees
Atoms (fractional coordinates):
Gd  0.0000  0.0000  0.0000
Al  0.1935  0.1935  0.1935
Al  0.4159  0.4159  0.4159
Al  0.5841  0.5841  0.5841
Al  0.8065  0.8065  0.8065
Ge  0.2776  0.2776  0.2776
Ge  0.7224  0.7224  0.7224
Au  0.5000  0.5000  0.5000


No. 3
Computed, not measured: GdAlHgAu after structural relaxation at the PBE level of DFT.

- V: 86.0 Å³/f.u.
- VASP energy: -5.8462 eV per atom

Cell lengths 7.0079, 7.0079, 7.0079 Å; angles 90.00, 90.00, 90.00 degrees
Atoms (fractional coordinates):
Gd  0.0000  0.0000  0.0000
Gd  0.0000  0.5000  0.5000
Gd  0.5000  0.0000  0.5000
Gd  0.5000  0.5000  0.0000
Al  0.0000  0.0000  0.5000
Al  0.0000  0.5000  0.0000
Al  0.5000  0.0000  0.0000
Al  0.5000  0.5000  0.5000
Hg  0.2500  0.2500  0.7500
Hg  0.2500  0.7500  0.2500
Hg  0.7500  0.2500  0.2500
Hg  0.7500  0.7500  0.7500
Au  0.2500  0.2500  0.2500
Au  0.2500  0.7500  0.7500
Au  0.7500  0.2500  0.7500
Au  0.7500  0.7500  0.2500


No. 4
Computed, not measured: LiGdAlAu after structural relaxation at the PBE level of DFT.

- V: 76.6 Å³/f.u.
- VASP energy: -6.3291 eV per atom

Cell lengths 6.7410, 6.7410, 6.7410 Å; angles 90.00, 90.00, 90.00 degrees
Atoms (fractional coordinates):
Li  0.0000  0.0000  0.0000
Li  0.0000  0.5000  0.5000
Li  0.5000  0.0000  0.5000
Li  0.5000  0.5000  0.0000
Gd  0.2500  0.2500  0.7500
Gd  0.2500  0.7500  0.2500
Gd  0.7500  0.2500  0.2500
Gd  0.7500  0.7500  0.7500
Al  0.2500  0.2500  0.2500
Al  0.2500  0.7500  0.7500
Al  0.7500  0.2500  0.7500
Al  0.7500  0.7500  0.2500
Au  0.0000  0.0000  0.5000
Au  0.0000  0.5000  0.0000
Au  0.5000  0.0000  0.0000
Au  0.5000  0.5000  0.5000


No. 5
Computed, not measured: NdGdAlAu after structural relaxation at the PBE level of DFT.

- V: 101.4 Å³/f.u.
- VASP energy: -6.9881 eV per atom

Cell lengths 7.4022, 7.4022, 7.4022 Å; angles 90.00, 90.00, 90.00 degrees
Atoms (fractional coordinates):
Nd  0.0000  0.0000  0.0000
Nd  0.0000  0.5000  0.5000
Nd  0.5000  0.0000  0.5000
Nd  0.5000  0.5000  0.0000
Gd  0.0000  0.0000  0.5000
Gd  0.0000  0.5000  0.0000
Gd  0.5000  0.0000  0.0000
Gd  0.5000  0.5000  0.5000
Al  0.2500  0.2500  0.7500
Al  0.2500  0.7500  0.2500
Al  0.7500  0.2500  0.2500
Al  0.7500  0.7500  0.7500
Au  0.2500  0.2500  0.2500
Au  0.2500  0.7500  0.7500
Au  0.7500  0.2500  0.7500
Au  0.7500  0.7500  0.2500


No. 6
Computed, not measured: PrGdAlAu after structural relaxation at the PBE level of DFT.

- V: 102.6 Å³/f.u.
- VASP energy: -6.9813 eV per atom

Cell lengths 7.4316, 7.4316, 7.4316 Å; angles 90.00, 90.00, 90.00 degrees
Atoms (fractional coordinates):
Pr  0.0000  0.0000  0.0000
Pr  0.0000  0.5000  0.5000
Pr  0.5000  0.0000  0.5000
Pr  0.5000  0.5000  0.0000
Gd  0.0000  0.0000  0.5000
Gd  0.0000  0.5000  0.0000
Gd  0.5000  0.0000  0.0000
Gd  0.5000  0.5000  0.5000
Al  0.2500  0.2500  0.7500
Al  0.2500  0.7500  0.2500
Al  0.7500  0.2500  0.2500
Al  0.7500  0.7500  0.7500
Au  0.2500  0.2500  0.2500
Au  0.2500  0.7500  0.7500
Au  0.7500  0.2500  0.7500
Au  0.7500  0.7500  0.2500


No. 7
Computed, not measured: GdYAlAu after structural relaxation at the PBE level of DFT.

- V: 97.2 Å³/f.u.
- VASP energy: -7.4583 eV per atom

Cell lengths 7.2983, 7.2983, 7.2983 Å; angles 90.00, 90.00, 90.00 degrees
Atoms (fractional coordinates):
Gd  0.0000  0.0000  0.0000
Gd  0.0000  0.5000  0.5000
Gd  0.5000  0.0000  0.5000
Gd  0.5000  0.5000  0.0000
Y  0.0000  0.0000  0.5000
Y  0.0000  0.5000  0.0000
Y  0.5000  0.0000  0.0000
Y  0.5000  0.5000  0.5000
Al  0.2500  0.2500  0.7500
Al  0.2500  0.7500  0.2500
Al  0.7500  0.2500  0.2500
Al  0.7500  0.7500  0.7500
Au  0.2500  0.2500  0.2500
Au  0.2500  0.7500  0.7500
Au  0.7500  0.2500  0.7500
Au  0.7500  0.7500  0.2500


No. 8
Computed, not measured: Al2GeAu6 after structural relaxation at the PBE level of DFT.

- V: 167.9 Å³/f.u.
- VASP energy: -3.7033 eV per atom

Cell lengths 4.7267, 4.7267, 8.9110 Å; angles 98.26, 98.26, 58.75 degrees
Atoms (fractional coordinates):
Al  0.2420  0.2420  0.3503
Al  0.7580  0.7580  0.6497
Ge  0.0000  0.0000  0.0000
Au  0.0991  0.0991  0.7188
Au  0.3447  0.3447  0.0712
Au  0.4088  0.4088  0.6278
Au  0.5912  0.5912  0.3722
Au  0.6553  0.6553  0.9288
Au  0.9009  0.9009  0.2812